[1]
A relaxed structure of Rb4Y3AlO8. Source: Alexandria, functional PBE-GGA.

Lattice parameters (Å, degrees): 7.6135 7.6135 7.6135 53.18 53.18 53.18
With the nearest neighbours (Å) after each atom.
Fractional coordinates of all 16 atoms:
1 Rb 0.0000 0.0000 0.0000  6 O 3.04
2 Rb 0.0000 0.5000 0.5000  6 O 2.87-2.88
3 Rb 0.5000 0.0000 0.5000  6 O 2.87-2.88
4 Rb 0.5000 0.5000 0.0000  6 O 2.87-2.88
5 Y 0.0000 0.0000 0.5000  6 O 2.28-2.33
6 Y 0.0000 0.5000 0.0000  6 O 2.28-2.33
7 Y 0.5000 0.0000 0.0000  6 O 2.28-2.33
8 Al 0.5000 0.5000 0.5000  6 O 2.11
9 O 0.2258 0.2258 0.2258  3 Y 2.28
10 O 0.2511 0.7085 0.7085  1 Al 2.11, 2 Y 2.33
11 O 0.2915 0.2915 0.7489  1 Al 2.11, 2 Y 2.33
12 O 0.2915 0.7489 0.2915  1 Al 2.11, 2 Y 2.33
13 O 0.7085 0.2511 0.7085  1 Al 2.11, 2 Y 2.33
14 O 0.7085 0.7085 0.2511  1 Al 2.11, 2 Y 2.33
15 O 0.7489 0.2915 0.2915  1 Al 2.11, 2 Y 2.33
16 O 0.7742 0.7742 0.7742  3 Y 2.28

## Properties
The density of states at the Fermi level comes out at 0.000 states/eV/atom. The size of the total moment comes out at 0.0 Bohr magnetons per cell.

***

[2]
A relaxed structure of Rb2ZrAl2O6. Source: Alexandria, functional PBE-GGA.

Lattice parameters (Å, degrees): 7.0426 7.0426 7.0426 49.60 49.60 49.60
With the nearest neighbours (Å) after each atom.
Fractional coordinates of all 11 atoms:
1 Rb 0.2052 0.2052 0.2052  9 O 3.04-3.15
2 Rb 0.7948 0.7948 0.7948  9 O 3.04-3.15
3 Zr 0.0000 0.0000 0.0000  6 O 2.13
4 Al 0.3998 0.3998 0.3998  3 O 1.71
5 Al 0.6002 0.6002 0.6002  3 O 1.71
6 O 0.2358 0.2358 0.7361  1 Al 1.71
7 O 0.2358 0.7361 0.2358  1 Al 1.71
8 O 0.2639 0.7642 0.7642  1 Al 1.71
9 O 0.7361 0.2358 0.2358  1 Al 1.71
10 O 0.7642 0.2639 0.7642  1 Al 1.71
11 O 0.7642 0.7642 0.2639  1 Al 1.71

## Properties
The density of states at the Fermi level comes out at 0.000 states/eV/atom. The size of the total moment comes out at 0.0 Bohr magnetons per cell.

***

[3]
A relaxed structure of RbZrAlO4. Source: Alexandria, functional PBE-GGA.

Lattice parameters (Å, degrees): 5.4830 5.7844 7.4194 90.00 103.65 90.00
With the nearest neighbours (Å) after each atom.
Fractional coordinates of all 14 atoms:
1 Rb 0.1787 0.2500 0.0811  1 O 2.67
2 Rb 0.8213 0.7500 0.9189  1 O 2.67
3 Zr 0.1707 0.7500 0.4726  6 O 2.05-2.27
4 Zr 0.8293 0.2500 0.5274  6 O 2.05-2.27
5 Al 0.3866 0.2500 0.6553  4 O 1.76-1.80
6 Al 0.6134 0.7500 0.3447  4 O 1.76-1.80
7 O 0.1611 0.0251 0.6622  1 Al 1.80
8 O 0.1611 0.4749 0.6622  1 Al 1.80
9 O 0.2961 0.7500 0.2222  1 Al 1.76
10 O 0.4458 0.2500 0.4315  1 Al 1.77
11 O 0.5542 0.7500 0.5685  1 Al 1.77
12 O 0.7039 0.2500 0.7778  1 Al 1.76
13 O 0.8389 0.5251 0.3378  1 Al 1.80
14 O 0.8389 0.9749 0.3378  1 Al 1.80

## Properties
The density of states at the Fermi level comes out at 0.000 states/eV/atom. The size of the total moment comes out at 0.0 Bohr magnetons per cell.

***

[4]
A relaxed structure of Al2ReO. Source: Alexandria, functional PBE-GGA.

Lattice parameters (Å, degrees): 5.6753 5.6753 6.8646 90.00 90.00 90.00
With the nearest neighbours (Å) after each atom.
Fractional coordinates of all 16 atoms:
1 Al 0.1528 0.2500 0.1250  2 O 1.87
2 Al 0.2500 0.6528 0.3750  2 O 1.87
3 Al 0.2500 0.8472 0.8750  2 O 1.87
4 Al 0.3472 0.2500 0.6250  2 O 1.87
5 Al 0.6528 0.7500 0.6250  2 O 1.87
6 Al 0.7500 0.1528 0.8750  2 O 1.87
7 Al 0.7500 0.3472 0.3750  2 O 1.87
8 Al 0.8472 0.7500 0.1250  2 O 1.87
9 Re 0.0000 0.0000 0.5000  4 Al 2.58
10 Re 0.0000 0.5000 0.7500  4 Al 2.58
11 Re 0.5000 0.0000 0.2500  4 Al 2.58
12 Re 0.5000 0.5000 0.0000  4 Al 2.58
13 O 0.0000 0.0000 0.0000  4 Al 1.87
14 O 0.0000 0.5000 0.2500  4 Al 1.87
15 O 0.5000 0.0000 0.7500  4 Al 1.87
16 O 0.5000 0.5000 0.5000  4 Al 1.87

## Properties
The density of states at the Fermi level comes out at 1.105 states/eV/atom. The size of the total moment comes out at 0.0 Bohr magnetons per cell.

***

[5]
A relaxed structure of Al2ReO6. Source: Alexandria, functional PBE-GGA.

Lattice parameters (Å, degrees): 4.4790 4.4790 8.8239 90.00 90.00 90.00
With the nearest neighbours (Å) after each atom.
Fractional coordinates of all 18 atoms:
1 Al 0.0000 0.0000 0.1665  6 O 1.91-1.93
2 Al 0.0000 0.0000 0.8335  6 O 1.91-1.93
3 Al 0.5000 0.5000 0.3335  6 O 1.91-1.93
4 Al 0.5000 0.5000 0.6665  6 O 1.91-1.93
5 Re 0.0000 0.0000 0.5000  6 O 1.92-1.95
6 Re 0.5000 0.5000 0.0000  6 O 1.92-1.95
7 O 0.1972 0.1972 0.0000  1 Re 1.92, 2 Al 1.93
8 O 0.1979 0.1979 0.3312  2 Al 1.91-1.92, 1 Re 1.95
9 O 0.1979 0.1979 0.6688  2 Al 1.91-1.92, 1 Re 1.95
10 O 0.3021 0.6979 0.1688  2 Al 1.91-1.92, 1 Re 1.95
11 O 0.3021 0.6979 0.8312  2 Al 1.91-1.92, 1 Re 1.95
12 O 0.3028 0.6972 0.5000  1 Re 1.92, 2 Al 1.93
13 O 0.6972 0.3028 0.5000  1 Re 1.92, 2 Al 1.93
14 O 0.6979 0.3021 0.1688  2 Al 1.91-1.92, 1 Re 1.95
15 O 0.6979 0.3021 0.8312  2 Al 1.91-1.92, 1 Re 1.95
16 O 0.8021 0.8021 0.3312  2 Al 1.91-1.92, 1 Re 1.95
17 O 0.8021 0.8021 0.6688  2 Al 1.91-1.92, 1 Re 1.95
18 O 0.8028 0.8028 0.0000  1 Re 1.92, 2 Al 1.93

## Properties
The density of states at the Fermi level comes out at 0.033 states/eV/atom. The size of the total moment comes out at 2.0 Bohr magnetons per cell.

***

[6]
A relaxed structure of AlRe2O8. Source: Alexandria, functional PBE-GGA.

Lattice parameters (Å, degrees): 6.3615 6.3615 5.0515 94.13 94.13 89.43
With the nearest neighbours (Å) after each atom.
Fractional coordinates of all 11 atoms:
1 Al 0.0000 0.0000 0.0000  6 O 1.93-1.97
2 Re 0.2108 0.2108 0.6356  4 O 1.72-1.81
3 Re 0.7892 0.7892 0.3644  4 O 1.72-1.81
4 O 0.0282 0.7427 0.1945  1 Re 1.81, 1 Al 1.97
5 O 0.1591 0.1591 0.2839  1 Re 1.79, 1 Al 1.93
6 O 0.2573 0.9718 0.8055  1 Re 1.81, 1 Al 1.97
7 O 0.3993 0.3993 0.7239  1 Re 1.72
8 O 0.6007 0.6007 0.2761  1 Re 1.72
9 O 0.7427 0.0282 0.1945  1 Re 1.81, 1 Al 1.97
10 O 0.8409 0.8409 0.7161  1 Re 1.79, 1 Al 1.93
11 O 0.9718 0.2573 0.8055  1 Re 1.81, 1 Al 1.97

## Properties
The density of states at the Fermi level comes out at 0.221 states/eV/atom. The size of the total moment comes out at 0.0 Bohr magnetons per cell.

***

[7]
A relaxed structure of AlRe3O. Source: Alexandria, functional PBE-GGA.

Lattice parameters (Å, degrees): 4.0896 4.0896 4.0896 90.00 90.00 90.00
With the nearest neighbours (Å) after each atom.
Fractional coordinates of all 5 atoms:
1 Al 0.0000 0.0000 0.0000  12 Re 2.89
2 Re 0.0000 0.5000 0.5000  2 O 2.04
3 Re 0.5000 0.0000 0.5000  2 O 2.04
4 Re 0.5000 0.5000 0.0000  2 O 2.04
5 O 0.5000 0.5000 0.5000  6 Re 2.04

## Properties
The value obtained for the energy above the most stable polymorph in this dataset is 0.000 eV per atom. The density of states at the Fermi level comes out at 0.902 states/eV/atom. The size of the total moment comes out at 0.0 Bohr magnetons per cell.

***

[8]
A relaxed structure of AlRe2RhO. Source: Alexandria, functional PBE-GGA.

Lattice parameters (Å, degrees): 4.7453 4.7453 4.6490 90.00 90.00 90.00
With the nearest neighbours (Å) after each atom.
Fractional coordinates of all 5 atoms:
1 Al 0.0000 0.0000 0.0000  2 Rh 2.32
2 Re 0.0000 0.5000 0.5000  2 Rh 2.37
3 Re 0.5000 0.0000 0.5000  2 Rh 2.37
4 Rh 0.0000 0.0000 0.5000  2 Al 2.32, 4 Re 2.37
5 O 0.5000 0.5000 0.0000  8 Re 3.32, 4 Al 3.36

## Properties
The density of states at the Fermi level comes out at 0.887 states/eV/atom. The size of the total moment comes out at 5.0 Bohr magnetons per cell.

***

[9]
A relaxed structure of AlReRuO2. Source: Alexandria, functional PBE-GGA.

Lattice parameters (Å, degrees): 3.6820 3.6820 5.5601 90.00 90.00 90.00
With the nearest neighbours (Å) after each atom.
Fractional coordinates of all 5 atoms:
1 Al 0.0000 0.0000 0.0000  4 Re 2.60
2 Re 0.5000 0.5000 0.0000  4 Al 2.60, 2 Ru 2.78
3 Ru 0.5000 0.5000 0.5000  4 O 1.84
4 O 0.0000 0.5000 0.5000  2 Ru 1.84
5 O 0.5000 0.0000 0.5000  2 Ru 1.84

## Properties
The density of states at the Fermi level comes out at 0.836 states/eV/atom. The size of the total moment comes out at 0.0 Bohr magnetons per cell.

***

[10]
A relaxed structure of SrAlReO6. Source: Alexandria, functional PBE-GGA.

Lattice parameters (Å, degrees): 5.0969 5.0969 5.4053 90.00 90.00 120.00
With the nearest neighbours (Å) after each atom.
Fractional coordinates of all 9 atoms:
1 Sr 0.0000 0.0000 0.0000  6 O 2.56
2 Al 0.3333 0.6667 0.5000  6 O 1.92
3 Re 0.6667 0.3333 0.5000  6 O 1.90
4 O 0.3869 0.0027 0.6976  1 Re 1.90, 1 Al 1.92
5 O 0.3869 0.3843 0.3024  1 Re 1.90, 1 Al 1.92
6 O 0.6157 0.0027 0.3024  1 Re 1.90, 1 Al 1.92
7 O 0.6157 0.6131 0.6976  1 Re 1.90, 1 Al 1.92
8 O 0.9973 0.3843 0.6976  1 Re 1.90, 1 Al 1.92
9 O 0.9973 0.6131 0.3024  1 Re 1.90, 1 Al 1.92

## Properties
The density of states at the Fermi level comes out at 0.000 states/eV/atom. The size of the total moment comes out at 0.0 Bohr magnetons per cell.

***

[11]
A relaxed structure of Sr2AlReO6. Source: Alexandria, functional PBE-GGA.

Lattice parameters (Å, degrees): 9.8514 9.8514 9.8514 32.99 32.99 32.99
With the nearest neighbours (Å) after each atom.
Fractional coordinates of all 20 atoms:
1 Sr 0.1333 0.1333 0.1333  9 O 2.74-2.81
2 Sr 0.2821 0.2821 0.2821  9 O 2.66-2.82
3 Sr 0.7179 0.7179 0.7179  9 O 2.66-2.82
4 Sr 0.8667 0.8667 0.8667  9 O 2.74-2.81
5 Al 0.0000 0.0000 0.0000  6 O 1.91
6 Al 0.5000 0.5000 0.5000  6 O 1.92
7 Re 0.4079 0.4079 0.4079  6 O 1.94-2.04
8 Re 0.5921 0.5921 0.5921  6 O 1.94-2.04
9 O 0.1461 0.6127 0.6127  1 Al 1.92, 1 Re 2.04
10 O 0.2008 0.2008 0.7143  1 Al 1.91, 1 Re 1.94
11 O 0.2008 0.7143 0.2008  1 Al 1.91, 1 Re 1.94
12 O 0.2857 0.7992 0.7992  1 Al 1.91, 1 Re 1.94
13 O 0.3873 0.3873 0.8539  1 Al 1.92, 1 Re 2.04
14 O 0.3873 0.8539 0.3873  1 Al 1.92, 1 Re 2.04
15 O 0.6127 0.1461 0.6127  1 Al 1.92, 1 Re 2.04
16 O 0.6127 0.6127 0.1461  1 Al 1.92, 1 Re 2.04
17 O 0.7143 0.2008 0.2008  1 Al 1.91, 1 Re 1.94
18 O 0.7992 0.2857 0.7992  1 Al 1.91, 1 Re 1.94
19 O 0.7992 0.7992 0.2857  1 Al 1.91, 1 Re 1.94
20 O 0.8539 0.3873 0.3873  1 Al 1.92, 1 Re 2.04

## Properties
The density of states at the Fermi level comes out at 0.306 states/eV/atom. The size of the total moment comes out at 4.0 Bohr magnetons per cell.

***

[12]
A relaxed structure of AlReTc2O. Source: Alexandria, functional PBE-GGA.

Lattice parameters (Å, degrees): 4.8606 4.8606 3.6977 90.00 90.00 90.00
With the nearest neighbours (Å) after each atom.
Fractional coordinates of all 5 atoms:
1 Al 0.0000 0.0000 0.0000  8 Tc 3.05
2 Re 0.5000 0.5000 0.5000  2 O 1.85
3 Tc 0.0000 0.5000 0.5000  2 Re 2.43
4 Tc 0.5000 0.0000 0.5000  2 Re 2.43
5 O 0.5000 0.5000 0.0000  2 Re 1.85

## Properties
The density of states at the Fermi level comes out at 1.113 states/eV/atom. The size of the total moment comes out at 1.1 Bohr magnetons per cell.

***

[13]
A relaxed structure of Al2TlReO. Source: Alexandria, functional PBE-GGA.

Lattice parameters (Å, degrees): 5.1868 5.1868 5.3247 90.00 90.00 90.00
With the nearest neighbours (Å) after each atom.
Fractional coordinates of all 5 atoms:
1 Al 0.0000 0.5000 0.0000  2 Tl 2.59
2 Al 0.5000 0.0000 0.0000  2 Tl 2.59
3 Tl 0.0000 0.0000 0.0000  4 Al 2.59, 2 Re 2.66
4 Re 0.0000 0.0000 0.5000  2 Tl 2.66
5 O 0.5000 0.5000 0.5000  4 Re 3.67, 8 Al 3.72

## Properties
The density of states at the Fermi level comes out at 0.770 states/eV/atom. The size of the total moment comes out at 4.6 Bohr magnetons per cell.

***

[14]
A relaxed structure of AlTlReO6. Source: Alexandria, functional PBE-GGA.

Lattice parameters (Å, degrees): 5.1097 5.1097 5.0759 90.00 90.00 120.00
With the nearest neighbours (Å) after each atom.
Fractional coordinates of all 9 atoms:
1 Al 0.0000 0.0000 0.0000  6 O 1.91
2 Tl 0.6667 0.3333 0.5000  6 O 2.45
3 Re 0.3333 0.6667 0.0000  6 O 1.91
4 O 0.0500 0.3344 0.2083  1 Re 1.91, 1 Al 1.91
5 O 0.0500 0.7156 0.7917  1 Re 1.91, 1 Al 1.91
6 O 0.2844 0.3344 0.7917  1 Re 1.91, 1 Al 1.91
7 O 0.2844 0.9500 0.2083  1 Re 1.91, 1 Al 1.91
8 O 0.6656 0.7156 0.2083  1 Re 1.91, 1 Al 1.91
9 O 0.6656 0.9500 0.7917  1 Re 1.91, 1 Al 1.91

## Properties
The density of states at the Fermi level comes out at 0.297 states/eV/atom. The size of the total moment comes out at 0.0 Bohr magnetons per cell.

***

E_form (uncorrected) across the listed records, respectively: -2471.6 -2528.3 -2757.7 -524.2 -2302.0 -1659.6 416.9 2007.3 145.0 -2338.7 -2432.7 726.2 2062.8 -1690.0 meV per atom.
E across the listed records, respectively: -6.64 -6.87 -7.48 -6.75 -7.82 -7.87 -8.79 -6.18 -6.93 -7.63 -7.36 -7.65 -3.39 -7.06 eV per atom.